[1]
{
  "formula": "IrOs2Ru",
  "functional": "GGA-PBE",
  "state": "optimized geometry",
  "lattice_angstrom": [[3.864, 0.000, 0.000], [0.000, 2.717, 0.005], [0.000, 2.710, 5.439]],
  "species": ["Ru", "Ir", "Os", "Os"],
  "frac_coords": [[0.500, 0.250, 0.250], [0.500, 0.750, 0.750], [0.000, 0.996, 0.004], [0.000, 0.504, 0.496]],
  "final_energy_ev_per_atom": -10.076,
  "e_above_lowest_polymorph_mev_per_atom": 87
}


[2]
{
  "formula": "IrOsRu",
  "functional": "GGA-PBE",
  "state": "optimized geometry",
  "lattice_angstrom": [[-2.576, -0.035, -0.870], [0.676, -1.285, 2.299], [-1.251, 5.568, 3.480]],
  "species": ["Ru", "Ir", "Os"],
  "frac_coords": [[0.333, 0.667, 0.661], [0.000, 0.000, 0.001], [0.667, 0.333, 0.339]],
  "final_energy_ev_per_atom": -9.745,
  "e_above_lowest_polymorph_mev_per_atom": 19
}


[3]
{
  "formula": "Ir3Os2Ru3",
  "functional": "GGA-PBE",
  "state": "optimized geometry",
  "lattice_angstrom": [[4.908, 0.087, -0.092], [0.092, 4.908, -0.092], [-0.087, -0.087, 4.908]],
  "species": ["Ir", "Ir", "Ir", "Os", "Os", "Ru", "Ru", "Ru"],
  "frac_coords": [[0.266, 0.734, 0.500], [0.500, 0.266, 0.266], [0.734, 0.500, 0.734], [0.249, 0.249, 0.751], [0.751, 0.751, 0.249], [0.232, 0.768, 0.000], [0.000, 0.232, 0.232], [0.768, 0.000, 0.768]],
  "final_energy_ev_per_atom": -9.209,
  "e_above_lowest_polymorph_mev_per_atom": 382
}


[4]
{
  "formula": "Ir8OsRu2",
  "functional": "GGA-PBE",
  "state": "optimized geometry",
  "lattice_angstrom": [[3.655, 0.000, -1.110], [-0.935, 6.921, -3.078], [0.153, -1.040, 7.077]],
  "species": ["Ir", "Ir", "Ir", "Ir", "Ir", "Ir", "Ir", "Ir", "Os", "Ru", "Ru"],
  "frac_coords": [[0.663, 0.911, 0.327], [0.337, 0.584, 0.673], [0.172, 0.172, 0.344], [0.000, 0.252, 0.000], [0.828, 0.828, 0.656], [0.663, 0.416, 0.327], [0.337, 0.089, 0.673], [0.000, 0.748, 0.000], [0.500, 0.000, 0.000], [0.167, 0.667, 0.334], [0.833, 0.333, 0.666]],
  "final_energy_ev_per_atom": -8.993
}


[5]
{
  "formula": "IrOs2Ru",
  "functional": "GGA-PBE",
  "state": "optimized geometry",
  "lattice_angstrom": [[4.721, 0.000, 0.000], [1.593, 4.444, 0.000], [-3.157, -2.222, 2.717]],
  "species": ["Ru", "Ir", "Os", "Os"],
  "frac_coords": [[0.250, 0.750, 0.500], [0.750, 0.250, 0.500], [0.000, 0.000, 0.000], [0.500, 0.500, 0.000]],
  "final_energy_ev_per_atom": -10.085,
  "e_above_lowest_polymorph_mev_per_atom": 78
}


[6]
{
  "formula": "IrOs2Ru2",
  "functional": "GGA-PBE",
  "state": "optimized geometry",
  "lattice_angstrom": [[3.688, 0.000, 0.000], [0.000, 3.688, 0.000], [1.844, 1.844, 5.863]],
  "species": ["Ru", "Ru", "Ir", "Os", "Os"],
  "frac_coords": [[0.750, 0.250, 0.500], [0.250, 0.750, 0.500], [0.000, 0.000, 0.000], [0.399, 0.399, 0.202], [0.601, 0.601, 0.798]],
  "final_energy_ev_per_atom": -9.234,
  "e_above_lowest_polymorph_mev_per_atom": 686
}


[7]
{
  "formula": "Ir2OsRu2",
  "functional": "GGA-PBE",
  "state": "optimized geometry",
  "lattice_angstrom": [[-3.566, -0.015, -3.153], [4.184, -2.089, -0.885], [-3.350, -6.513, 5.494]],
  "species": ["Ir", "Ir", "Ir", "Ir", "Os", "Os", "Ru", "Ru", "Ru", "Ru"],
  "frac_coords": [[0.418, 0.582, 0.500], [0.168, 0.832, 0.000], [0.082, 0.918, 0.500], [0.832, 0.168, 0.000], [0.750, 0.250, 0.500], [0.500, 0.500, 0.000], [0.125, 0.375, 0.750], [0.625, 0.375, 0.250], [0.625, 0.375, 0.750], [0.625, 0.875, 0.250]],
  "final_energy_ev_per_atom": -8.576,
  "e_above_lowest_polymorph_mev_per_atom": 450
}


[8]
{
  "formula": "IrOsRu",
  "functional": "GGA-PBE",
  "state": "optimized geometry",
  "lattice_angstrom": [[-3.459, 3.037, -0.989], [2.644, -1.771, -3.479], [-1.706, -4.382, -0.114]],
  "species": ["Ir", "Ir", "Os", "Os", "Ru", "Ru"],
  "frac_coords": [[0.786, 0.820, 0.832], [0.956, 0.159, 0.332], [0.289, 0.826, 0.332], [0.453, 0.153, 0.832], [0.619, 0.487, 0.332], [0.122, 0.492, 0.832]],
  "final_energy_ev_per_atom": -9.749,
  "e_above_lowest_polymorph_mev_per_atom": 14
}